Run w
The following is a PBE calculation of HfTlFePt after structural relaxation, from the Open Quantum Materials Database.

```
data_HfTlFePt
_cell_length_a 6.5476
_cell_length_b 6.5476
_cell_length_c 6.5476
_cell_angle_alpha 90.00
_cell_angle_beta 90.00
_cell_angle_gamma 90.00
_space_group_name_H-M_alt 'F -4 3 m'
_space_group_IT_number 216
_space_group_name_Hall 'F -4 2 3'
loop_
_atom_site_label
_atom_site_type_symbol
_atom_site_fract_x
_atom_site_fract_y
_atom_site_fract_z
_atom_site_occupancy
Hf1 Hf 0.0000 0.0000 0.0000 1
Tl1 Tl 0.2500 0.2500 0.2500 1
Fe1 Fe 0.0000 0.0000 0.5000 1
Pt1 Pt 0.2500 0.2500 0.7500 1
```

***

Run x
The following is a PBE calculation of HfTlFePt after structural relaxation, from the Open Quantum Materials Database.

```
data_HfTlFePt
_cell_length_a 6.5339
_cell_length_b 6.5339
_cell_length_c 6.5339
_cell_angle_alpha 90.00
_cell_angle_beta 90.00
_cell_angle_gamma 90.00
_space_group_name_H-M_alt 'F -4 3 m'
_space_group_IT_number 216
_space_group_name_Hall 'F -4 2 3'
loop_
_atom_site_label
_atom_site_type_symbol
_atom_site_fract_x
_atom_site_fract_y
_atom_site_fract_z
_atom_site_occupancy
Hf1 Hf 0.0000 0.0000 0.0000 1
Tl1 Tl 0.0000 0.0000 0.5000 1
Fe1 Fe 0.2500 0.2500 0.7500 1
Pt1 Pt 0.2500 0.2500 0.2500 1
```

***

The data favor run x; the next most stable structure lies 17.5 kJ/mol of atoms above it.

***

Run w
The following is a PBE calculation of HfFeRe after structural relaxation, from the Open Quantum Materials Database.

```
data_HfFeRe
_cell_length_a 6.0325
_cell_length_b 6.0325
_cell_length_c 6.0325
_cell_angle_alpha 90.00
_cell_angle_beta 90.00
_cell_angle_gamma 90.00
_space_group_name_H-M_alt 'F -4 3 m'
_space_group_IT_number 216
_space_group_name_Hall 'F -4 2 3'
loop_
_atom_site_label
_atom_site_type_symbol
_atom_site_fract_x
_atom_site_fract_y
_atom_site_fract_z
_atom_site_occupancy
Hf1 Hf 0.0000 0.0000 0.0000 1
Fe1 Fe 0.2500 0.2500 0.7500 1
Re1 Re 0.2500 0.2500 0.2500 1
```

***

Run x
The following is a PBE calculation of HfFeRe after structural relaxation, from the Open Quantum Materials Database.

```
data_HfFeRe
_cell_length_a 5.8793
_cell_length_b 5.8793
_cell_length_c 5.8793
_cell_angle_alpha 90.00
_cell_angle_beta 90.00
_cell_angle_gamma 90.00
_space_group_name_H-M_alt 'F -4 3 m'
_space_group_IT_number 216
_space_group_name_Hall 'F -4 2 3'
loop_
_atom_site_label
_atom_site_type_symbol
_atom_site_fract_x
_atom_site_fract_y
_atom_site_fract_z
_atom_site_occupancy
Hf1 Hf 0.0000 0.0000 0.0000 1
Fe1 Fe 0.2500 0.2500 0.2500 1
Re1 Re 0.0000 0.0000 0.5000 1
```

***

The data favor run x; the next most stable structure lies 81.9 kJ/mol of atoms above it.

***

Run w
The following is a PBE calculation of HfTlFeRe after structural relaxation, from the Open Quantum Materials Database.

```
data_HfTlFeRe
_cell_length_a 6.4953
_cell_length_b 6.4953
_cell_length_c 6.4953
_cell_angle_alpha 90.00
_cell_angle_beta 90.00
_cell_angle_gamma 90.00
_space_group_name_H-M_alt 'F -4 3 m'
_space_group_IT_number 216
_space_group_name_Hall 'F -4 2 3'
loop_
_atom_site_label
_atom_site_type_symbol
_atom_site_fract_x
_atom_site_fract_y
_atom_site_fract_z
_atom_site_occupancy
Hf1 Hf 0.0000 0.0000 0.0000 1
Tl1 Tl 0.2500 0.2500 0.2500 1
Fe1 Fe 0.0000 0.0000 0.5000 1
Re1 Re 0.2500 0.2500 0.7500 1
```

***

Run x
The following is a PBE calculation of HfTlFeRe after structural relaxation, from the Open Quantum Materials Database.

```
data_HfTlFeRe
_cell_length_a 6.4740
_cell_length_b 6.4740
_cell_length_c 6.4740
_cell_angle_alpha 90.00
_cell_angle_beta 90.00
_cell_angle_gamma 90.00
_space_group_name_H-M_alt 'F -4 3 m'
_space_group_IT_number 216
_space_group_name_Hall 'F -4 2 3'
loop_
_atom_site_label
_atom_site_type_symbol
_atom_site_fract_x
_atom_site_fract_y
_atom_site_fract_z
_atom_site_occupancy
Hf1 Hf 0.0000 0.0000 0.0000 1
Tl1 Tl 0.0000 0.0000 0.5000 1
Fe1 Fe 0.2500 0.2500 0.7500 1
Re1 Re 0.2500 0.2500 0.2500 1
```

***

The data favor run x; the next most stable structure lies 7.7 kJ/mol of atoms above it.